No. 1
Below is Ba20As13 at its PBEsol-relaxed geometry, with properties calculated at the SCAN level.

The electronic total energy is -33.163 eV per atom. The calculation puts the density of states at the Fermi level at 46.05 states/eV/cell.

a = 14.017 Å, b = 70.309 Å, c = 9.894 Å
α = 90.00°, β = 90.00°, γ = 90.00°
Space group Fdd2 (No. 43)
Symmetry-distinct sites (fractional):
Ba  0.045  0.228  0.003 (multiplicity 16)
Ba  0.050  0.424  0.000 (multiplicity 16)
Ba  0.062  0.125  0.525 (multiplicity 16)
Ba  0.063  0.024  0.014 (multiplicity 16)
Ba  0.065  0.325  0.511 (multiplicity 16)
Ba  0.113  0.340  0.156 (multiplicity 16)
Ba  0.119  0.190  0.414 (multiplicity 16)
Ba  0.119  0.287  0.890 (multiplicity 16)
Ba  0.119  0.488  0.900 (multiplicity 16)
Ba  0.120  0.136  0.160 (multiplicity 16)
As  0.000  0.000  0.710 (multiplicity 8)
As  0.001  0.200  0.711 (multiplicity 16)
As  0.004  0.402  0.699 (multiplicity 16)
As  0.063  0.337  0.832 (multiplicity 16)
As  0.064  0.037  0.329 (multiplicity 16)
As  0.066  0.236  0.327 (multiplicity 16)
As  0.067  0.138  0.841 (multiplicity 16)

***

No. 2
Below is Ba3As at its PBEsol-relaxed geometry, with properties calculated at the SCAN level.

For the polymorph energy (0 for the lowest one), the calculation gives 0.2638 eV per atom. The electronic total energy is -35.181 eV per atom. The calculation puts the density of states at the Fermi level at 3.94 states/eV/cell.

a = 4.681 Å, b = 5.141 Å, c = 7.296 Å
α = 90.00°, β = 90.00°, γ = 90.00°
Space group Pmm2 (No. 25)
Symmetry-distinct sites (fractional):
Ba  0.000  0.000  0.000 (multiplicity 1)
Ba  0.000  0.500  0.494 (multiplicity 1)
Ba  0.500  0.500  0.899 (multiplicity 1)
As  0.500  0.000  0.656 (multiplicity 1)